First-principles (PBE-GGA) data for an optimized crystal structure of CdTe2Mo, as listed in Alexandria.

```
data_CdTe2Mo
_chemical_formula_sum 'Cd1 Te2 Mo1'
_cell_length_a 3.6021
_cell_length_b 3.6021
_cell_length_c 7.4792
_cell_angle_alpha 90.00
_cell_angle_beta 90.00
_cell_angle_gamma 90.00
_space_group_name_H-M_alt 'P 4 m m'
_space_group_IT_number 99
_space_group_name_Hall 'P 4 -2'
loop_
_atom_site_label
_atom_site_fract_x
_atom_site_fract_y
_atom_site_fract_z
Cd1 0.0000 0.0000 0.0000
Te1 0.0000 0.0000 0.3918
Te2 0.5000 0.5000 0.8022
Mo1 0.5000 0.5000 0.2124
```

Calculated values
Fermi-level density of states ... 3.353 states/eV per cell
ΔE_f (raw) ... 0.272 eV/atom
Total energy ... -4.236 eV/atom
Total magnetic moment ... 0.0 μB/f.u.

=====

First-principles (PBE-GGA) data for an optimized crystal structure of LiRuRh2, as listed in Alexandria.

```
data_LiRuRh2
_chemical_formula_sum 'Li1 Ru1 Rh2'
_cell_length_a 2.7092
_cell_length_b 3.9148
_cell_length_c 5.1290
_cell_angle_alpha 90.00
_cell_angle_beta 90.00
_cell_angle_gamma 90.00
_space_group_name_H-M_alt 'P m m 2'
_space_group_IT_number 25
_space_group_name_Hall 'P 2 -2'
loop_
_atom_site_label
_atom_site_fract_x
_atom_site_fract_y
_atom_site_fract_z
Li1 0.0000 0.0000 0.0000
Ru1 0.5000 0.5000 0.7299
Rh1 0.0000 0.0000 0.5036
Rh2 0.5000 0.5000 0.2141
```

Calculated values
E_form ... 0.0506 eV/atom
Fermi-level density of states ... 4.340 states/eV per cell
Total energy ... -6.422 eV/atom
Total magnetic moment ... 0.0 μB/f.u.
Polymorph energy (0 for the lowest one) ... 63 meV per atom

=====

First-principles (PBE-GGA) data for an optimized crystal structure of InSbPd3, as listed in Alexandria.

```
data_InSbPd3
_chemical_formula_sum 'In2 Sb2 Pd6'
_cell_length_a 5.5305
_cell_length_b 4.4062
_cell_length_c 8.3586
_cell_angle_alpha 90.00
_cell_angle_beta 90.00
_cell_angle_gamma 90.00
_space_group_name_H-M_alt 'P m m a'
_space_group_IT_number 51
_space_group_name_Hall '-P 2a 2a'
loop_
_atom_site_label
_atom_site_fract_x
_atom_site_fract_y
_atom_site_fract_z
In1 0.2500 0.0000 0.1348
Sb1 0.2500 0.5000 0.6357
Pd1 0.0000 0.5000 0.0000
Pd2 0.2500 0.0000 0.8064
Pd3 0.2500 0.5000 0.3167
```

Calculated values
Fermi-level density of states ... 3.657 states/eV per cell
ΔE_f (raw) ... -0.368 eV/atom
Total energy ... -4.856 eV/atom
Total magnetic moment ... 0.0 μB/f.u.
Polymorph energy (0 for the lowest one) ... 0 meV per atom

=====

First-principles (PBE-GGA) data for an optimized crystal structure of LaZr3Se, as listed in Alexandria.

```
data_LaZr3Se
_chemical_formula_sum 'La1 Zr3 Se1'
_cell_length_a 5.1410
_cell_length_b 5.1410
_cell_length_c 5.1410
_cell_angle_alpha 90.00
_cell_angle_beta 90.00
_cell_angle_gamma 90.00
_space_group_name_H-M_alt 'P m -3 m'
_space_group_IT_number 221
_space_group_name_Hall '-P 4 2 3'
loop_
_atom_site_label
_atom_site_fract_x
_atom_site_fract_y
_atom_site_fract_z
La1 0.0000 0.0000 0.0000
Zr1 0.0000 0.5000 0.5000
Se1 0.5000 0.5000 0.5000
```

Calculated values
Fermi-level density of states ... 5.787 states/eV per cell
ΔE_f (raw) ... -0.189 eV/atom
Total energy ... -7.000 eV/atom
Total magnetic moment ... 0.0 μB/f.u.
Polymorph energy (0 for the lowest one) ... 0 meV per atom